Arrangement A

Material: DyTm2Pu
Method: DFT, PBE
State: optimized geometry

Summary:
Density (Mg/m³): 10.362
Magnetic moment (μB per atom): 1.462

abc: 3.5005 3.5005 33.7215
angles: 90.00 90.00 120.00
Space group R3m (No. 160, hexagonal axes)
Symmetry-distinct sites (fractional):
1 Dy 0.0000 0.0000 0.0000 (multiplicity 3)
2 Tm 0.0000 0.0000 0.5818 (multiplicity 3)
3 Tm 0.0000 0.0000 0.7505 (multiplicity 3)
4 Pu 0.0000 0.0000 0.1656 (multiplicity 3)

***

Arrangement B

Material: DyTm2Pu
Method: DFT, PBE
State: optimized geometry

Summary:
Density (Mg/m³): 10.417
Magnetic moment (μB per atom): 1.572

abc: 3.4643 3.4643 9.8867
angles: 90.00 90.00 90.00
Space group P4/mmm (No. 123)
Symmetry-distinct sites (fractional):
1 Dy 0.0000 0.0000 0.0000 (multiplicity 1)
2 Tm 0.5000 0.5000 0.2552 (multiplicity 2)
3 Pu 0.0000 0.0000 0.5000 (multiplicity 1)

***

Relative energies, kJ/mol of atoms: arrangement A 0.0; arrangement B 0.5.

***

Arrangement A

Material: Dy4Tm3Pu
Method: DFT, PBE
State: optimized geometry

Summary:
Density (Mg/m³): 9.606
Magnetic moment (μB per atom): 0.830

abc: 4.9335 9.9302 9.8860
angles: 90.00 90.00 90.00
Space group Pmmn (No. 59, origin choice 2)
Symmetry-distinct sites (fractional):
1 Dy 0.2500 0.0017 0.1293 (multiplicity 4)
2 Dy 0.2500 0.2500 0.8735 (multiplicity 2)
3 Dy 0.2500 0.7500 0.8718 (multiplicity 2)
4 Tm 0.2500 0.9998 0.6210 (multiplicity 4)
5 Tm 0.2500 0.7500 0.3803 (multiplicity 2)
6 Pu 0.2500 0.2500 0.3747 (multiplicity 2)

***

Arrangement B

Material: Dy4Tm3Pu
Method: DFT, PBE
State: optimized geometry

Summary:
Density (Mg/m³): 9.470
Magnetic moment (μB per atom): 0.758

abc: 3.3988 11.4411 12.6335
angles: 90.00 90.00 90.00
Space group Immm (No. 71)
Symmetry-distinct sites (fractional):
1 Dy 0.0000 0.2481 0.1316 (multiplicity 8)
2 Tm 0.0000 0.0000 0.5000 (multiplicity 2)
3 Tm 0.0000 0.5000 0.2629 (multiplicity 4)
4 Pu 0.0000 0.0000 0.0000 (multiplicity 2)

***

Relative energies, kJ/mol of atoms: arrangement A 0.0; arrangement B 9.4.

***

Arrangement A

Material: Dy5Tm4Pu
Method: DFT, PBE
State: optimized geometry

Summary:
Density (Mg/m³): 9.227
Magnetic moment (μB per atom): 0.586

abc: 10.7441 10.7441 5.4009
angles: 90.00 90.00 90.00
Space group I4mm (No. 107)
Symmetry-distinct sites (fractional):
1 Dy 0.0000 0.0000 0.0000 (multiplicity 2)
2 Dy 0.1847 0.1847 0.5010 (multiplicity 8)
3 Tm 0.0000 0.3276 0.0012 (multiplicity 8)
4 Pu 0.0000 0.0000 0.4998 (multiplicity 2)

***

Arrangement B

Material: Dy5Tm4Pu
Method: DFT, PBE
State: optimized geometry

Summary:
Density (Mg/m³): 9.423
Magnetic moment (μB per atom): 0.585

abc: 16.5988 3.4701 11.1988
angles: 90.00 108.83 90.00
Space group C2/m (No. 12)
Symmetry-distinct sites (fractional):
1 Dy 0.0000 0.0000 0.0000 (multiplicity 2)
2 Dy 0.1878 0.5000 0.5771 (multiplicity 4)
3 Dy 0.2114 0.5000 0.1164 (multiplicity 4)
4 Tm 0.0831 0.5000 0.7900 (multiplicity 4)
5 Tm 0.1054 0.0000 0.2983 (multiplicity 4)
6 Pu 0.0000 0.0000 0.5000 (multiplicity 2)

***

Relative energies, kJ/mol of atoms: arrangement A 20.5; arrangement B 0.0.

***

Arrangement A

Material: Dy2YPu
Method: DFT, PBE
State: optimized geometry

Summary:
Density (Mg/m³): 8.837
Magnetic moment (μB per atom): 1.464

abc: 3.5476 3.5476 34.0277
angles: 90.00 90.00 120.00
Space group R3m (No. 160, hexagonal axes)
Symmetry-distinct sites (fractional):
1 Dy 0.0000 0.0000 0.0000 (multiplicity 3)
2 Dy 0.0000 0.0000 0.1694 (multiplicity 3)
3 Y 0.0000 0.0000 0.4185 (multiplicity 3)
4 Pu 0.0000 0.0000 0.5842 (multiplicity 3)

***

Arrangement B

Material: Dy2YPu
Method: DFT, PBE
State: optimized geometry

Summary:
Density (Mg/m³): 8.887
Magnetic moment (μB per atom): 1.566

abc: 4.9818 4.9818 4.9529
angles: 90.00 90.00 90.00
Space group P4/mmm (No. 123)
Symmetry-distinct sites (fractional):
1 Dy 0.0000 0.5000 0.0000 (multiplicity 2)
2 Y 0.0000 0.0000 0.5000 (multiplicity 1)
3 Pu 0.5000 0.5000 0.5000 (multiplicity 1)

***

Relative energies, kJ/mol of atoms: arrangement A 0.0; arrangement B 4.9.

***

Arrangement A

Material: Dy2YPu
Method: DFT, PBE
State: optimized geometry

Summary:
Density (Mg/m³): 8.915
Magnetic moment (μB per atom): 1.526

abc: 3.5014 3.5014 9.9960
angles: 90.00 90.00 90.00
Space group P4/mmm (No. 123)
Symmetry-distinct sites (fractional):
1 Dy 0.0000 0.0000 0.2434 (multiplicity 2)
2 Y 0.5000 0.5000 0.5000 (multiplicity 1)
3 Pu 0.5000 0.5000 0.0000 (multiplicity 1)

***

Arrangement B

Material: Dy2YPu
Method: DFT, PBE
State: optimized geometry

Summary:
Density (Mg/m³): 8.884
Magnetic moment (μB per atom): 1.865

abc: 5.7501 5.7501 3.7191
angles: 90.00 90.00 90.00
Space group P4/mmm (No. 123)
Symmetry-distinct sites (fractional):
1 Dy 0.0000 0.5000 0.0000 (multiplicity 2)
2 Y 0.0000 0.0000 0.5000 (multiplicity 1)
3 Pu 0.5000 0.5000 0.5000 (multiplicity 1)

***

Arrangement C

Material: Dy2YPu
Method: DFT, PBE
State: optimized geometry

Summary:
Density (Mg/m³): 8.854
Magnetic moment (μB per atom): 1.808

abc: 7.9026 7.9026 7.9026
angles: 90.00 90.00 90.00
Space group Fm-3m (No. 225)
Symmetry-distinct sites (fractional):
1 Dy 0.2500 0.2500 0.2500 (multiplicity 8)
2 Y 0.0000 0.0000 0.0000 (multiplicity 4)
3 Pu 0.0000 0.0000 0.5000 (multiplicity 4)

***

Relative energies, kJ/mol of atoms: arrangement A 0.0; arrangement B 7.8; arrangement C 9.5.

***

Arrangement A

Material: DyYPu2
Method: DFT, PBE
State: optimized geometry

Summary:
Density (Mg/m³): 10.235
Magnetic moment (μB per atom): 0.070

abc: 3.4435 3.4435 35.0448
angles: 90.00 90.00 120.00
Space group R3m (No. 160, hexagonal axes)
Symmetry-distinct sites (fractional):
1 Dy 0.0000 0.0000 0.0000 (multiplicity 3)
2 Y 0.0000 0.0000 0.5072 (multiplicity 3)
3 Pu 0.0000 0.0000 0.0917 (multiplicity 3)
4 Pu 0.0000 0.0000 0.2550 (multiplicity 3)

***

Arrangement B

Material: DyYPu2
Method: DFT, PBE
State: optimized geometry

Summary:
Density (Mg/m³): 10.434
Magnetic moment (μB per atom): 3.198

abc: 3.4077 3.4077 10.1338
angles: 90.00 90.00 90.00
Space group P4/mmm (No. 123)
Symmetry-distinct sites (fractional):
1 Dy 0.0000 0.0000 0.0000 (multiplicity 1)
2 Y 0.0000 0.0000 0.5000 (multiplicity 1)
3 Pu 0.5000 0.5000 0.2483 (multiplicity 2)

***

Arrangement C

Material: DyYPu2
Method: DFT, PBE
State: optimized geometry

Summary:
Density (Mg/m³): 10.237
Magnetic moment (μB per atom): 2.997

abc: 3.3800 3.3800 36.3667
angles: 90.00 90.00 120.00
Space group R-3m (No. 166, hexagonal axes)
Symmetry-distinct sites (fractional):
1 Dy 0.0000 0.0000 0.0000 (multiplicity 3)
2 Y 0.0000 0.0000 0.5000 (multiplicity 3)
3 Pu 0.0000 0.0000 0.4134 (multiplicity 6)

***

Relative energies, kJ/mol of atoms: arrangement A 6.3; arrangement B 0.0; arrangement C 15.6.

***

Arrangement A

Material: Dy7Y12Pu
Method: DFT, PBE
State: optimized geometry

Summary:
Density (Mg/m³): 6.335
Magnetic moment (μB per atom): 0.262

abc: 15.6231 15.6231 9.1087
angles: 90.00 90.00 120.00
Space group R-3 (No. 148, hexagonal axes)
Symmetry-distinct sites (fractional):
1 Dy 0.0000 0.0000 0.0000 (multiplicity 3)
2 Dy 0.0132 0.1566 0.2039 (multiplicity 18)
3 Y 0.0265 0.2643 0.8556 (multiplicity 18)
4 Y 0.0703 0.5664 0.1567 (multiplicity 18)
5 Pu 0.0000 0.0000 0.5000 (multiplicity 3)

***

Arrangement B

Material: Dy7Y12Pu
Method: DFT, PBE
State: optimized geometry

Summary:
Density (Mg/m³): 6.310
Magnetic moment (μB per atom): 0.000

abc: 19.1117 19.1117 6.1103
angles: 90.00 90.00 120.00
Space group R-3 (No. 148, hexagonal axes)
Symmetry-distinct sites (fractional):
1 Dy 0.0000 0.0000 0.0000 (multiplicity 3)
2 Dy 0.0782 0.1572 0.3167 (multiplicity 18)
3 Y 0.9996 0.4137 0.0002 (multiplicity 18)
4 Y 0.0991 0.5491 0.4874 (multiplicity 18)
5 Pu 0.0000 0.0000 0.5000 (multiplicity 3)

***

Relative energies, kJ/mol of atoms: arrangement A 0.0; arrangement B 16.5.

***

Arrangement A

Material: Dy2PuZn
Method: DFT, PBE
State: optimized geometry

Summary:
Density (Mg/m³): 9.364
Magnetic moment (μB per atom): 1.607

abc: 3.4027 3.4027 33.6576
angles: 90.00 90.00 120.00
Space group R-3m (No. 166, hexagonal axes)
Symmetry-distinct sites (fractional):
1 Dy 0.0000 0.0000 0.0989 (multiplicity 6)
2 Pu 0.0000 0.0000 0.0000 (multiplicity 3)
3 Zn 0.0000 0.0000 0.5000 (multiplicity 3)

***

Arrangement B

Material: Dy2PuZn
Method: DFT, PBE
State: optimized geometry

Summary:
Density (Mg/m³): 10.130
Magnetic moment (μB per atom): 1.609

abc: 7.4650 7.4650 7.4650
angles: 90.00 90.00 90.00
Space group Fm-3m (No. 225)
Symmetry-distinct sites (fractional):
1 Dy 0.2500 0.2500 0.2500 (multiplicity 8)
2 Pu 0.0000 0.0000 0.0000 (multiplicity 4)
3 Zn 0.0000 0.0000 0.5000 (multiplicity 4)

***

Relative energies, kJ/mol of atoms: arrangement A 9.0; arrangement B 0.0.

***

Arrangement A

Material: Dy2PuZn
Method: DFT, PBE
State: optimized geometry

Summary:
Density (Mg/m³): 10.060
Magnetic moment (μB per atom): 1.619

abc: 3.5115 3.5115 8.4924
angles: 90.00 90.00 90.00
Space group P4/mmm (No. 123)
Symmetry-distinct sites (fractional):
1 Dy 0.0000 0.0000 0.2102 (multiplicity 2)
2 Pu 0.5000 0.5000 0.5000 (multiplicity 1)
3 Zn 0.5000 0.5000 0.0000 (multiplicity 1)

***

Arrangement B

Material: Dy2PuZn
Method: DFT, PBE
State: optimized geometry

Summary:
Density (Mg/m³): 9.595
Magnetic moment (μB per atom): 1.601

abc: 3.5361 3.5361 30.4153
angles: 90.00 90.00 120.00
Space group R3m (No. 160, hexagonal axes)
Symmetry-distinct sites (fractional):
1 Dy 0.0000 0.0000 0.0000 (multiplicity 3)
2 Dy 0.0000 0.0000 0.1853 (multiplicity 3)
3 Pu 0.0000 0.0000 0.7595 (multiplicity 3)
4 Zn 0.0000 0.0000 0.5929 (multiplicity 3)

***

Relative energies, kJ/mol of atoms: arrangement A 0.0; arrangement B 9.5.

***

Arrangement A

Material: DyPuZr
Method: DFT, PBE
State: optimized geometry

Summary:
Density (Mg/m³): 10.549
Magnetic moment (μB per atom): 1.723

abc: 5.2861 5.2861 3.2376
angles: 90.00 90.00 120.00
Space group P-6m2 (No. 187)
Symmetry-distinct sites (fractional):
1 Dy 0.0000 0.0000 0.0000 (multiplicity 1)
2 Pu 0.6667 0.3333 0.5000 (multiplicity 1)
3 Zr 0.3333 0.6667 0.5000 (multiplicity 1)

***

Arrangement B

Material: DyPuZr
Method: DFT, PBE
State: optimized geometry

Summary:
Density (Mg/m³): 10.369
Magnetic moment (μB per atom): 1.902

abc: 3.3402 3.3402 14.2880
angles: 90.00 90.00 90.00
Space group I4mm (No. 107)
Symmetry-distinct sites (fractional):
1 Dy 0.0000 0.0000 0.0000 (multiplicity 2)
2 Pu 0.0000 0.0000 0.6802 (multiplicity 2)
3 Zr 0.0000 0.0000 0.3333 (multiplicity 2)

***

Relative energies, kJ/mol of atoms: arrangement A 3.8; arrangement B 0.0.

***

Arrangement A

Material: DyPu2Zr
Method: DFT, PBE
State: optimized geometry

Summary:
Density (Mg/m³): 11.807
Magnetic moment (μB per atom): 2.830

abc: 4.6583 4.6583 4.8073
angles: 90.00 90.00 90.00
Space group P4/mmm (No. 123)
Symmetry-distinct sites (fractional):
1 Dy 0.0000 0.0000 0.0000 (multiplicity 1)
2 Pu 0.0000 0.5000 0.5000 (multiplicity 2)
3 Zr 0.5000 0.5000 0.0000 (multiplicity 1)

***

Arrangement B

Material: DyPu2Zr
Method: DFT, PBE
State: optimized geometry

Summary:
Density (Mg/m³): 11.695
Magnetic moment (μB per atom): 2.921

abc: 3.2920 3.2920 9.7183
angles: 90.00 90.00 90.00
Space group P4/mmm (No. 123)
Symmetry-distinct sites (fractional):
1 Dy 0.0000 0.0000 0.0000 (multiplicity 1)
2 Pu 0.5000 0.5000 0.2667 (multiplicity 2)
3 Zr 0.0000 0.0000 0.5000 (multiplicity 1)

***

Relative energies, kJ/mol of atoms: arrangement A 3.4; arrangement B 0.0.

***

Arrangement A

Material: DyPuZr2
Method: DFT, PBE
State: optimized geometry

Summary:
Density (Mg/m³): 9.581
Magnetic moment (μB per atom): 1.297

abc: 3.3217 3.3217 32.0429
angles: 90.00 90.00 120.00
Space group R3m (No. 160, hexagonal axes)
Symmetry-distinct sites (fractional):
1 Dy 0.0000 0.0000 0.0000 (multiplicity 3)
2 Pu 0.0000 0.0000 0.1671 (multiplicity 3)
3 Zr 0.0000 0.0000 0.4200 (multiplicity 3)
4 Zr 0.0000 0.0000 0.5815 (multiplicity 3)

***

Arrangement B

Material: DyPuZr2
Method: DFT, PBE
State: optimized geometry

Summary:
Density (Mg/m³): 9.610
Magnetic moment (μB per atom): 1.342

abc: 3.8034 3.8034 7.0351
angles: 90.00 90.00 90.00
Space group P4/mmm (No. 123)
Symmetry-distinct sites (fractional):
1 Dy 0.0000 0.0000 0.0000 (multiplicity 1)
2 Pu 0.0000 0.0000 0.5000 (multiplicity 1)
3 Zr 0.5000 0.5000 0.2844 (multiplicity 2)

***

Relative energies, kJ/mol of atoms: arrangement A 0.0; arrangement B 2.3.